Here is crystalline BaSbAs2 at its relaxed geometry from Alexandria. Energies are from GGA-PBE.

As for the space-group type: I-42d (122).

abc: 7.9294 7.9294 7.0538
angles: 55.80 55.80 90.00
Fractional positions:
Sb 0.5000 0.5000 0.0000
Sb 0.2500 0.7500 0.5000
As 0.5627 0.1250 0.2500
As 0.1873 0.6250 0.2500
As 0.3750 0.4373 0.7500
As 0.8750 0.8127 0.7500
Ba 0.0000 0.0000 0.0000
Ba 0.7500 0.2500 0.5000


Here is crystalline BaSb3As at its relaxed geometry from Alexandria. Energies are from GGA-PBE.

As for the space-group type: Pm-3m (221).

abc: 6.2769 6.2769 6.2769
angles: 90.00 90.00 90.00
Site moments in Bohr magnetons follow the coordinates.
Fractional positions:
Sb 0.0000 0.5000 0.0000  0.02
Sb 0.0000 0.0000 0.5000  -0.14
Sb 0.5000 0.0000 0.0000  -0.02
As 0.5000 0.5000 0.5000  0.95
Ba 0.0000 0.0000 0.0000  0.03


Per-record formation energy (no corrections), eV per atom: -0.361 1.325